1.
The following is a GGA-PBE calculation of crystalline SrMn2S4 at its relaxed geometry, from Alexandria via LeMat-Bulk.

```
data_SrMn2S4
_cell_length_a 11.223
_cell_length_b 14.164
_cell_length_c 7.887
_cell_angle_alpha 90.00
_cell_angle_beta 90.00
_cell_angle_gamma 90.00
_symmetry_space_group_name_H-M 'F d d 2'
_symmetry_Int_Tables_number 43
_symmetry_space_group_name_Hall 'F 2 -2d'
loop_
_atom_site_label
_atom_site_fract_x
_atom_site_fract_y
_atom_site_fract_z
Sr1 0.000 0.000 0.000
Mn1 0.099 0.098 0.587
S1 0.051 0.124 0.304
S2 0.111 0.417 0.115
```



2.
The following is a GGA-PBE calculation of crystalline SrMn3S at its relaxed geometry, from Alexandria via LeMat-Bulk.

Values from the calculation:
Excess energy over the best structure of this formula in the dataset = 9.653 eV per formula unit

```
data_SrMn3S
_cell_length_a 5.086
_cell_length_b 5.086
_cell_length_c 5.086
_cell_angle_alpha 90.00
_cell_angle_beta 90.00
_cell_angle_gamma 90.00
_symmetry_space_group_name_H-M 'P m -3 m'
_symmetry_Int_Tables_number 221
_symmetry_space_group_name_Hall '-P 4 2 3'
loop_
_atom_site_label
_atom_site_fract_x
_atom_site_fract_y
_atom_site_fract_z
Sr1 0.000 0.000 0.000
Mn1 0.000 0.000 0.500
S1 0.500 0.500 0.500
```



3.
The following is a GGA-PBE calculation of crystalline Sr2MnS3 at its relaxed geometry, from Alexandria via LeMat-Bulk.

```
data_Sr2MnS3
_cell_length_a 8.519
_cell_length_b 4.152
_cell_length_c 16.529
_cell_angle_alpha 90.00
_cell_angle_beta 90.00
_cell_angle_gamma 90.00
_symmetry_space_group_name_H-M 'P n m a'
_symmetry_Int_Tables_number 62
_symmetry_space_group_name_Hall '-P 2ac 2n'
loop_
_atom_site_label
_atom_site_fract_x
_atom_site_fract_y
_atom_site_fract_z
Sr1 0.081 0.250 0.216
Sr2 0.239 0.250 0.959
Mn1 0.123 0.250 0.633
S1 0.012 0.250 0.401
S2 0.125 0.750 0.073
S3 0.180 0.250 0.774
```



4.
The following is a GGA-PBE calculation of crystalline SrMn4S8 at its relaxed geometry, from Alexandria via LeMat-Bulk.

```
data_SrMn4S8
_cell_length_a 6.7145
_cell_length_b 6.7145
_cell_length_c 21.2498
_cell_angle_alpha 90.00
_cell_angle_beta 90.00
_cell_angle_gamma 120.00
_symmetry_space_group_name_H-M 'R -3 m'
_symmetry_Int_Tables_number 166
_symmetry_space_group_name_Hall '-R 3 2"'
loop_
_atom_site_label
_atom_site_fract_x
_atom_site_fract_y
_atom_site_fract_z
Sr1 0.0000 0.0000 0.0000
Mn1 0.0000 0.0000 0.5000
Mn2 0.0000 0.5000 0.5000
S1 0.0000 0.0000 0.2285
S2 0.0030 0.5015 0.2281
```



5.
The following is a GGA-PBE calculation of crystalline SrMn2S at its relaxed geometry, from Alexandria via LeMat-Bulk.

```
data_SrMn2S
_cell_length_a 4.745
_cell_length_b 4.745
_cell_length_c 15.797
_cell_angle_alpha 90.00
_cell_angle_beta 90.00
_cell_angle_gamma 90.00
_symmetry_space_group_name_H-M 'I -4 2 d'
_symmetry_Int_Tables_number 122
_symmetry_space_group_name_Hall 'I -4 2bw'
loop_
_atom_site_label
_atom_site_fract_x
_atom_site_fract_y
_atom_site_fract_z
Sr1 0.000 0.000 0.000
Mn1 0.013 0.750 0.625
S1 0.000 0.000 0.500
```



6.
The following is a GGA-PBE calculation of crystalline SrMn3S at its relaxed geometry, from Alexandria via LeMat-Bulk.

Values from the calculation:
Excess energy over the best structure of this formula in the dataset = 0.000 eV per formula unit

```
data_SrMn3S
_cell_length_a 4.549
_cell_length_b 4.549
_cell_length_c 4.549
_cell_angle_alpha 90.00
_cell_angle_beta 90.00
_cell_angle_gamma 90.00
_symmetry_space_group_name_H-M 'P m -3 m'
_symmetry_Int_Tables_number 221
_symmetry_space_group_name_Hall '-P 4 2 3'
loop_
_atom_site_label
_atom_site_fract_x
_atom_site_fract_y
_atom_site_fract_z
Sr1 0.000 0.000 0.000
Mn1 0.000 0.500 0.500
S1 0.500 0.500 0.500
```



7.
The following is a GGA-PBE calculation of crystalline Sr2UMnS6 at its relaxed geometry, from Alexandria via LeMat-Bulk.

```
data_Sr2UMnS6
_cell_length_a 11.744
_cell_length_b 6.791
_cell_length_c 6.917
_cell_angle_alpha 90.00
_cell_angle_beta 125.21
_cell_angle_gamma 90.00
_symmetry_space_group_name_H-M 'C 1 2/m 1'
_symmetry_Int_Tables_number 12
_symmetry_space_group_name_Hall '-C 2y'
loop_
_atom_site_label
_atom_site_fract_x
_atom_site_fract_y
_atom_site_fract_z
Sr1 0.245 0.000 0.234
U1 0.000 0.000 0.500
Mn1 0.000 0.500 0.000
S1 0.042 0.262 0.805
S2 0.236 0.500 0.314
```



8.
The following is a GGA-PBE calculation of crystalline SrUMnS6 at its relaxed geometry, from Alexandria via LeMat-Bulk.

```
data_SrUMnS6
_cell_length_a 6.203
_cell_length_b 6.203
_cell_length_c 11.593
_cell_angle_alpha 90.00
_cell_angle_beta 90.00
_cell_angle_gamma 90.00
_symmetry_space_group_name_H-M 'P 42 n m'
_symmetry_Int_Tables_number 102
_symmetry_space_group_name_Hall 'P 4n -2n'
loop_
_atom_site_label
_atom_site_fract_x
_atom_site_fract_y
_atom_site_fract_z
Sr1 0.000 0.000 0.000
U1 0.000 0.000 0.660
Mn1 0.000 0.000 0.329
S1 0.172 0.172 0.480
S2 0.209 0.209 0.196
S3 0.223 0.223 0.798
```



9.
The following is a GGA-PBE calculation of crystalline SrUMnS4 at its relaxed geometry, from Alexandria via LeMat-Bulk.

```
data_SrUMnS4
_cell_length_a 6.539
_cell_length_b 6.433
_cell_length_c 8.157
_cell_angle_alpha 90.00
_cell_angle_beta 107.77
_cell_angle_gamma 90.00
_symmetry_space_group_name_H-M 'P 1 21/m 1'
_symmetry_Int_Tables_number 11
_symmetry_space_group_name_Hall '-P 2yb'
loop_
_atom_site_label
_atom_site_fract_x
_atom_site_fract_y
_atom_site_fract_z
Sr1 0.249 0.250 0.441
U1 0.279 0.250 0.947
Mn1 0.262 0.750 0.181
S1 0.047 0.750 0.905
S2 0.056 0.750 0.361
S3 0.485 0.510 0.772
```



10.
The following is a GGA-PBE calculation of crystalline SrMnV2S at its relaxed geometry, from Alexandria via LeMat-Bulk.

```
data_SrMnV2S
_cell_length_a 4.209
_cell_length_b 4.209
_cell_length_c 6.340
_cell_angle_alpha 90.00
_cell_angle_beta 90.00
_cell_angle_gamma 90.00
_symmetry_space_group_name_H-M 'P 4/m m m'
_symmetry_Int_Tables_number 123
_symmetry_space_group_name_Hall '-P 4 2'
loop_
_atom_site_label
_atom_site_fract_x
_atom_site_fract_y
_atom_site_fract_z
Sr1 0.000 0.000 0.000
Mn1 0.000 0.000 0.500
V1 0.000 0.500 0.500
S1 0.500 0.500 0.000
```



11.
The following is a GGA-PBE calculation of crystalline Sr2YMnS5 at its relaxed geometry, from Alexandria via LeMat-Bulk.

```
data_Sr2YMnS5
_cell_length_a 4.014
_cell_length_b 17.571
_cell_length_c 12.351
_cell_angle_alpha 90.00
_cell_angle_beta 90.00
_cell_angle_gamma 90.00
_symmetry_space_group_name_H-M 'C m c 21'
_symmetry_Int_Tables_number 36
_symmetry_space_group_name_Hall 'C 2c -2'
loop_
_atom_site_label
_atom_site_fract_x
_atom_site_fract_y
_atom_site_fract_z
Sr1 0.000 0.120 0.000
Sr2 0.000 0.123 0.648
Y1 0.000 0.201 0.344
Mn1 0.000 0.445 0.743
S1 0.000 0.038 0.332
S2 0.000 0.299 0.991
S3 0.000 0.319 0.687
S4 0.000 0.351 0.324
S5 0.000 0.500 0.081
```



12.
The following is a GGA-PBE calculation of crystalline SrZrMnS4 at its relaxed geometry, from Alexandria via LeMat-Bulk.

```
data_SrZrMnS4
_cell_length_a 6.367
_cell_length_b 6.780
_cell_length_c 7.921
_cell_angle_alpha 90.00
_cell_angle_beta 106.87
_cell_angle_gamma 90.00
_symmetry_space_group_name_H-M 'P 1 21/m 1'
_symmetry_Int_Tables_number 11
_symmetry_space_group_name_Hall '-P 2yb'
loop_
_atom_site_label
_atom_site_fract_x
_atom_site_fract_y
_atom_site_fract_z
Sr1 0.216 0.250 0.048
Zr1 0.206 0.250 0.549
Mn1 0.257 0.750 0.334
S1 0.011 0.505 0.711
S2 0.478 0.750 0.155
S3 0.498 0.250 0.394
```



13.
The following is a GGA-PBE calculation of crystalline Ta4MnS8 at its relaxed geometry, from Alexandria via LeMat-Bulk.

Values from the calculation:
Excess energy over the best structure of this formula in the dataset = 0.000 eV per formula unit

```
data_Ta4MnS8
_cell_length_a 6.6860
_cell_length_b 6.6860
_cell_length_c 12.4969
_cell_angle_alpha 90.00
_cell_angle_beta 90.00
_cell_angle_gamma 120.00
_symmetry_space_group_name_H-M 'P 63/m m c'
_symmetry_Int_Tables_number 194
_symmetry_space_group_name_Hall '-P 6c 2c'
loop_
_atom_site_label
_atom_site_fract_x
_atom_site_fract_y
_atom_site_fract_z
Ta1 0.0000 0.0000 0.2500
Ta2 0.0116 0.5058 0.2500
Mn1 0.0000 0.0000 0.0000
S1 0.1685 0.3369 0.6255
S2 0.3333 0.6667 0.1216
```



14.
The following is a GGA-PBE calculation of crystalline Ta3MnS8 at its relaxed geometry, from Alexandria via LeMat-Bulk.

```
data_Ta3MnS8
_cell_length_a 6.8970
_cell_length_b 6.8970
_cell_length_c 11.6522
_cell_angle_alpha 90.00
_cell_angle_beta 90.00
_cell_angle_gamma 120.00
_symmetry_space_group_name_H-M 'P 63 m c'
_symmetry_Int_Tables_number 186
_symmetry_space_group_name_Hall 'P 6c -2c'
loop_
_atom_site_label
_atom_site_fract_x
_atom_site_fract_y
_atom_site_fract_z
Ta1 0.1656 0.3313 0.0000
Mn1 0.3333 0.6667 0.2503
S1 0.0000 0.0000 0.1291
S2 0.0067 0.5033 0.1297
S3 0.1688 0.3377 0.3825
S4 0.3333 0.6667 0.8738
```



15.
The following is a GGA-PBE calculation of crystalline TaMn3S at its relaxed geometry, from Alexandria via LeMat-Bulk.

Values from the calculation:
Excess energy over the best structure of this formula in the dataset = 6.146 eV per formula unit

```
data_TaMn3S
_cell_length_a 4.723
_cell_length_b 4.723
_cell_length_c 4.723
_cell_angle_alpha 90.00
_cell_angle_beta 90.00
_cell_angle_gamma 90.00
_symmetry_space_group_name_H-M 'P m -3 m'
_symmetry_Int_Tables_number 221
_symmetry_space_group_name_Hall '-P 4 2 3'
loop_
_atom_site_label
_atom_site_fract_x
_atom_site_fract_y
_atom_site_fract_z
Ta1 0.000 0.000 0.000
Mn1 0.000 0.000 0.500
S1 0.500 0.500 0.500
```



16.
The following is a GGA-PBE calculation of crystalline Ta6MnS8 at its relaxed geometry, from Alexandria via LeMat-Bulk.

```
data_Ta6MnS8
_cell_length_a 9.5801
_cell_length_b 9.5801
_cell_length_c 11.1068
_cell_angle_alpha 90.00
_cell_angle_beta 90.00
_cell_angle_gamma 120.00
_symmetry_space_group_name_H-M 'R -3'
_symmetry_Int_Tables_number 148
_symmetry_space_group_name_Hall '-R 3'
loop_
_atom_site_label
_atom_site_fract_x
_atom_site_fract_y
_atom_site_fract_z
Ta1 0.0193 0.1808 0.3830
Mn1 0.0000 0.0000 0.0000
S1 0.0000 0.0000 0.2112
S2 0.0206 0.3837 0.2446
```



17.
The following is a GGA-PBE calculation of crystalline Ta2Mn2S7 at its relaxed geometry, from Alexandria via LeMat-Bulk.

```
data_Ta2Mn2S7
_cell_length_a 6.984
_cell_length_b 10.575
_cell_length_c 6.615
_cell_angle_alpha 90.00
_cell_angle_beta 97.74
_cell_angle_gamma 90.00
_symmetry_space_group_name_H-M 'C 1 2/m 1'
_symmetry_Int_Tables_number 12
_symmetry_space_group_name_Hall '-C 2y'
loop_
_atom_site_label
_atom_site_fract_x
_atom_site_fract_y
_atom_site_fract_z
Ta1 0.000 0.151 0.000
Mn1 0.234 0.000 0.646
S1 0.000 0.500 0.500
S2 0.102 0.000 0.268
S3 0.240 0.301 0.206
```



18.
The following is a GGA-PBE calculation of crystalline TaMn2S4 at its relaxed geometry, from Alexandria via LeMat-Bulk.

```
data_TaMn2S4
_cell_length_a 3.254
_cell_length_b 12.005
_cell_length_c 13.336
_cell_angle_alpha 90.00
_cell_angle_beta 90.00
_cell_angle_gamma 90.00
_symmetry_space_group_name_H-M 'C m c m'
_symmetry_Int_Tables_number 63
_symmetry_space_group_name_Hall '-C 2c 2'
loop_
_atom_site_label
_atom_site_fract_x
_atom_site_fract_y
_atom_site_fract_z
Ta1 0.000 0.190 0.250
Mn1 0.000 0.408 0.105
S1 0.000 0.000 0.000
S2 0.000 0.244 0.622
S3 0.000 0.469 0.750
```



19.
The following is a GGA-PBE calculation of crystalline Ta3MnS at its relaxed geometry, from Alexandria via LeMat-Bulk.

Values from the calculation:
Excess energy over the best structure of this formula in the dataset = 0.000 eV per formula unit

```
data_Ta3MnS
_cell_length_a 4.490
_cell_length_b 4.490
_cell_length_c 4.490
_cell_angle_alpha 90.00
_cell_angle_beta 90.00
_cell_angle_gamma 90.00
_symmetry_space_group_name_H-M 'P m -3 m'
_symmetry_Int_Tables_number 221
_symmetry_space_group_name_Hall '-P 4 2 3'
loop_
_atom_site_label
_atom_site_fract_x
_atom_site_fract_y
_atom_site_fract_z
Ta1 0.000 0.000 0.500
Mn1 0.500 0.500 0.500
S1 0.000 0.000 0.000
```



20.
The following is a GGA-PBE calculation of crystalline Ta2MnS at its relaxed geometry, from Alexandria via LeMat-Bulk.

```
data_Ta2MnS
_cell_length_a 2.9623
_cell_length_b 2.9623
_cell_length_c 25.4882
_cell_angle_alpha 90.00
_cell_angle_beta 90.00
_cell_angle_gamma 120.00
_symmetry_space_group_name_H-M 'R -3 m'
_symmetry_Int_Tables_number 166
_symmetry_space_group_name_Hall '-R 3 2"'
loop_
_atom_site_label
_atom_site_fract_x
_atom_site_fract_y
_atom_site_fract_z
Ta1 0.0000 0.0000 0.0910
Mn1 0.0000 0.0000 0.0000
S1 0.0000 0.0000 0.5000
```



What did we get for magnetic moment? Answer: 64.01 11.26 20.00 29.94 21.94 9.05 1.93 6.81 14.02 0.00 16.00 9.92 8.39 8.79 8.44 12.17 15.81 33.47 0.00 0.52 μB/cell, in the order shown.
What did we get for uncorrected formation energy? Answer: -0.963 2.102 -1.612 -0.803 -0.014 0.171 -1.380 -0.938 -1.312 0.545 -1.658 -1.321 -1.068 -0.864 1.464 -0.741 -0.601 -0.605 0.683 0.389 eV per atom, in the order shown.